6
Lattice="-2.278 2.326 3.164 2.278 -2.326 3.164 2.278 2.326 -3.164" Properties=species:S:1:pos:R:3 comment="BeVCu (PBE-GGA, optimized geometry)" dft_energy_ev_per_cell=-33.94 delta_e_f_kj_per_mol_fu=-3 total_magnetization_mub_per_cell=1.4 crystal_system=orthorhombic spacegroup=Imma pbc="T T T"
Be -1.139 1.163 1.582
Be 1.139 1.163 1.582
V 2.278 1.163 -0.743
V 0.000 1.163 3.906
Cu 0.000 0.000 0.000
Cu 0.000 2.326 0.000



6
Lattice="1.599 -5.819 0.000 1.599 5.819 0.000 0.000 0.000 3.605" Properties=species:S:1:pos:R:3 comment="BeVCu (PBE-GGA, optimized geometry)" dft_energy_ev_per_cell=-33.83 delta_e_f_kj_per_mol_fu=3 total_magnetization_mub_per_cell=0.0 crystal_system=orthorhombic spacegroup=Cmcm pbc="T T T"
Be 1.599 4.905 2.704
Be 1.599 -4.905 0.901
V 1.599 2.858 0.901
V 1.599 -2.858 2.704
Cu 1.599 0.866 2.704
Cu 1.599 -0.866 0.901



6
Lattice="1.992 -5.617 0.000 1.992 5.617 0.000 0.000 0.000 3.042" Properties=species:S:1:pos:R:3 comment="BeVCu (PBE-GGA, optimized geometry)" dft_energy_ev_per_cell=-33.88 delta_e_f_kj_per_mol_fu=0 total_magnetization_mub_per_cell=0.0 crystal_system=orthorhombic spacegroup=Cmcm pbc="T T T"
Be 1.992 4.847 2.281
Be 1.992 -4.847 0.760
V 1.992 0.894 2.281
V 1.992 -0.894 0.760
Cu 1.992 3.027 0.760
Cu 1.992 -3.027 2.281



4
Lattice="0.000 2.746 2.746 2.746 0.000 2.746 2.746 2.746 0.000" Properties=species:S:1:pos:R:3 comment="Be2VCu (PBE-GGA, optimized geometry)" dft_energy_ev_per_cell=-20.46 delta_e_f_kj_per_mol_fu=20 total_magnetization_mub_per_cell=1.0 crystal_system=cubic spacegroup=Fm-3m pbc="T T T"
Be 1.373 1.373 1.373
Be 4.119 4.119 4.119
V 0.000 0.000 0.000
Cu 2.746 2.746 2.746



5
Lattice="4.506 0.000 0.000 0.000 4.506 0.000 0.000 0.000 4.506" Properties=species:S:1:pos:R:3 comment="BeVCu3 (PBE-GGA, optimized geometry)" dft_energy_ev_per_cell=-16.98 delta_e_f_kj_per_mol_fu=787 total_magnetization_mub_per_cell=2.4 crystal_system=cubic spacegroup=Pm-3m pbc="T T T"
Be 0.000 0.000 0.000
V 2.253 2.253 2.253
Cu 0.000 2.253 2.253
Cu 2.253 0.000 2.253
Cu 2.253 2.253 0.000



8
Lattice="-3.329 3.329 2.251 3.329 -3.329 2.251 3.329 3.329 -2.251" Properties=species:S:1:pos:R:3 comment="BeV2Cu (PBE-GGA, optimized geometry)" dft_energy_ev_per_cell=-48.61 delta_e_f_kj_per_mol_fu=169 total_magnetization_mub_per_cell=0.0 crystal_system=tetragonal spacegroup=I-42d pbc="T T T"
Be 0.000 0.000 0.000
Be 0.000 3.329 1.125
V 4.993 1.611 -0.563
V 1.611 1.664 0.563
V -1.664 1.717 1.688
V 1.717 1.664 2.813
Cu 3.329 0.000 1.125
Cu 0.000 0.000 2.251



3
Lattice="0.000 2.647 2.647 2.647 0.000 2.647 2.647 2.647 0.000" Properties=species:S:1:pos:R:3 comment="BeVCu (PBE-GGA, optimized geometry)" dft_energy_ev_per_cell=-15.61 delta_e_f_kj_per_mol_fu=128 total_magnetization_mub_per_cell=0.0 crystal_system=cubic spacegroup=F-43m pbc="T T T"
Be 0.000 0.000 0.000
V 3.971 3.971 3.971
Cu 1.324 1.324 1.324



10
Lattice="6.705 0.000 0.000 0.000 6.705 0.000 0.000 0.000 2.400" Properties=species:S:1:pos:R:3 comment="Be2VCu2 (PBE-GGA, optimized geometry)" dft_energy_ev_per_cell=-49.19 delta_e_f_kj_per_mol_fu=16 total_magnetization_mub_per_cell=0.8 crystal_system=tetragonal spacegroup=P4/mbm pbc="T T T"
Be 1.138 2.215 0.000
Be 2.215 5.567 0.000
Be 4.490 1.138 0.000
Be 5.567 4.490 0.000
V 0.000 0.000 1.200
V 3.352 3.352 1.200
Cu 0.866 4.218 1.200
Cu 2.487 0.866 1.200
Cu 4.218 5.839 1.200
Cu 5.839 2.487 1.200